Entry 1:
Entry from the Alexandria database: GaRu3O after structural relaxation (PBE).

Cell lengths 4.104, 4.104, 4.104 Å; angles 90.00, 90.00, 90.00 degrees
Sites, in units of the cell vectors:
O 0.000 0.000 0.000
Ru 0.000 0.000 0.500
Ru 0.500 0.000 0.000
Ga 0.500 0.500 0.500
Ru 0.000 0.500 0.000

Values from the calculation:
* excess energy over the best structure of this formula in the dataset: 0.0 meV per atom
* formation energy from raw total energies: 0.1611 eV/atom
* size of the total moment: 0.000 μB per formula unit
* VASP energy: -0.51459 Ry/atom
* density: 9.34 Mg/m³


Entry 2:
Entry from the Alexandria database: CoSe2 after structural relaxation (PBE).

Cell lengths 6.724, 6.724, 6.724 Å; angles 154.94, 154.94, 35.74 degrees
Sites, in units of the cell vectors:
Se 0.619 0.619 0.000
Co 0.000 0.000 0.000
Se 0.381 0.381 0.000

Values from the calculation:
* formation energy from raw total energies: 0.1332 eV/atom
* size of the total moment: 0.000 μB per formula unit
* VASP energy: -0.33504 Ry/atom
* density: 6.61 Mg/m³